[1]
The following is a PBE-GGA calculation of a relaxed structure of Al2TlIn, from Alexandria via LeMat-Bulk.

a = 3.356 Å, b = 4.232 Å, c = 6.567 Å
α = 90.00°, β = 90.00°, γ = 90.00°
Positions (direct):
1 Tl 0.500 0.500 0.750
2 Al 0.000 0.000 0.026
3 Al 0.000 0.000 0.474
4 In 0.500 0.500 0.250

energy of formation from the pure elements = 0.247 eV/atom
density = 6.64 g/cm3
total energy = -2.90 eV/atom
relative energy among the computed polymorphs = 90.6 meV/atom

---

[2]
The following is a PBE-GGA calculation of a relaxed structure of Al2TlIn, from Alexandria via LeMat-Bulk.

a = 3.200 Å, b = 3.200 Å, c = 10.633 Å
α = 90.00°, β = 90.00°, γ = 120.07°
Positions (direct):
1 Tl 0.500 0.500 0.750
2 Al 0.000 0.000 0.006
3 Al 0.000 0.000 0.494
4 In 0.500 0.500 0.250

energy of formation from the pure elements = 0.266 eV/atom
density = 6.58 g/cm3
total energy = -2.88 eV/atom
relative energy among the computed polymorphs = 109.7 meV/atom

---

[3]
The following is a PBE-GGA calculation of a relaxed structure of AlTl2In2, from Alexandria via LeMat-Bulk.

a = 7.664 Å, b = 7.664 Å, c = 4.898 Å
α = 90.00°, β = 90.00°, γ = 90.00°
Positions (direct):
1 Tl 0.349 0.849 0.000
2 Tl 0.849 0.651 0.000
3 Tl 0.651 0.151 0.000
4 Tl 0.151 0.349 0.000
5 Al 0.000 0.000 0.000
6 Al 0.500 0.500 0.000
7 In 0.158 0.658 0.500
8 In 0.658 0.842 0.500
9 In 0.842 0.342 0.500
10 In 0.342 0.158 0.500

energy of formation from the pure elements = 0.241 eV/atom
density = 7.68 g/cm3
total energy = -2.55 eV/atom
relative energy among the computed polymorphs = 98.8 meV/atom

---

[4]
The following is a PBE-GGA calculation of a relaxed structure of Al2TlIn, from Alexandria via LeMat-Bulk.

a = 5.339 Å, b = 5.339 Å, c = 5.339 Å
α = 127.63°, β = 127.63°, γ = 77.23°
Positions (direct):
1 Tl 0.750 0.250 0.500
2 Al 0.000 0.000 0.000
3 Al 0.500 0.500 0.000
4 In 0.250 0.750 0.500

energy of formation from the pure elements = 0.255 eV/atom
density = 6.69 g/cm3
total energy = -2.89 eV/atom
relative energy among the computed polymorphs = 98.9 meV/atom

---

[5]
The following is a PBE-GGA calculation of a relaxed structure of AlTlIn, from Alexandria via LeMat-Bulk.

a = 4.879 Å, b = 4.879 Å, c = 4.879 Å
α = 60.00°, β = 60.00°, γ = 60.00°
Positions (direct):
1 Tl 0.500 0.500 0.500
2 Al 0.750 0.750 0.750
3 In 0.000 0.000 0.000

energy of formation from the pure elements = 0.190 eV/atom
density = 7.00 g/cm3
total energy = -2.76 eV/atom
relative energy among the computed polymorphs = 38.2 meV/atom

---

[6]
The following is a PBE-GGA calculation of a relaxed structure of Al2TlIn2, from Alexandria via LeMat-Bulk.

a = 8.576 Å, b = 8.576 Å, c = 3.283 Å
α = 90.00°, β = 90.00°, γ = 90.00°
Positions (direct):
1 Tl 0.000 0.000 0.000
2 Tl 0.500 0.500 0.000
3 Al 0.382 0.882 0.000
4 Al 0.882 0.618 0.000
5 Al 0.618 0.118 0.000
6 Al 0.118 0.382 0.000
7 In 0.176 0.676 0.500
8 In 0.676 0.824 0.500
9 In 0.824 0.324 0.500
10 In 0.324 0.176 0.500

energy of formation from the pure elements = 0.161 eV/atom
density = 6.71 g/cm3
total energy = -2.91 eV/atom
relative energy among the computed polymorphs = 8.3 meV/atom

---

[7]
The following is a PBE-GGA calculation of a relaxed structure of AlTlIn, from Alexandria via LeMat-Bulk.

a = 3.654 Å, b = 3.654 Å, c = 11.385 Å
α = 90.00°, β = 90.00°, γ = 90.00°
Positions (direct):
1 In 0.000 0.500 0.592
2 In 0.500 0.000 0.408
3 Tl 0.500 0.000 0.780
4 Tl 0.000 0.500 0.220
5 Al 0.000 0.500 0.949
6 Al 0.500 0.000 0.051

energy of formation from the pure elements = 0.152 eV/atom
density = 7.56 g/cm3
total energy = -2.80 eV/atom
relative energy among the computed polymorphs = 0.0 meV/atom

---

[8]
The following is a PBE-GGA calculation of a relaxed structure of AlTl3In, from Alexandria via LeMat-Bulk.

a = 5.446 Å, b = 5.446 Å, c = 5.446 Å
α = 90.00°, β = 90.00°, γ = 90.00°
Positions (direct):
1 Tl 0.000 0.500 0.000
2 Tl 0.000 0.000 0.500
3 Tl 0.500 0.000 0.000
4 Al 0.000 0.000 0.000
5 In 0.500 0.500 0.500

energy of formation from the pure elements = 0.293 eV/atom
density = 7.76 g/cm3
total energy = -2.42 eV/atom
relative energy among the computed polymorphs = 0.0 meV/atom

---

[9]
The following is a PBE-GGA calculation of a relaxed structure of AlTl2In, from Alexandria via LeMat-Bulk.

a = 3.569 Å, b = 5.586 Å, c = 5.413 Å
α = 90.00°, β = 90.00°, γ = 90.00°
Positions (direct):
1 Tl 0.000 0.000 0.000
2 Tl 0.500 0.500 0.000
3 Al 0.500 0.000 0.500
4 In 0.000 0.500 0.500

energy of formation from the pure elements = 0.186 eV/atom
density = 8.47 g/cm3
total energy = -2.62 eV/atom
relative energy among the computed polymorphs = 71.3 meV/atom

---

[10]
The following is a PBE-GGA calculation of a relaxed structure of Al2Tl2In, from Alexandria via LeMat-Bulk.

a = 3.830 Å, b = 3.830 Å, c = 9.451 Å
α = 78.31°, β = 78.31°, γ = 90.00°
Positions (direct):
1 Tl 0.389 0.389 0.221
2 Tl 0.611 0.611 0.779
3 Al 0.750 0.250 0.500
4 Al 0.250 0.750 0.500
5 In 0.000 0.000 0.000

energy of formation from the pure elements = 0.206 eV/atom
density = 7.22 g/cm3
total energy = -2.79 eV/atom
relative energy among the computed polymorphs = 18.7 meV/atom

---

[11]
The following is a PBE-GGA calculation of a relaxed structure of Al2TlIn, from Alexandria via LeMat-Bulk.

a = 5.554 Å, b = 5.554 Å, c = 5.554 Å
α = 131.86°, β = 131.86°, γ = 70.46°
Positions (direct):
1 Tl 0.750 0.250 0.500
2 Al 0.000 0.000 0.000
3 Al 0.250 0.750 0.500
4 In 0.500 0.500 0.000

energy of formation from the pure elements = 0.265 eV/atom
density = 6.65 g/cm3
total energy = -2.88 eV/atom
relative energy among the computed polymorphs = 108.4 meV/atom

---

[12]
The following is a PBE-GGA calculation of a relaxed structure of AlTlIn3, from Alexandria via LeMat-Bulk.

a = 5.717 Å, b = 5.717 Å, c = 5.717 Å
α = 90.00°, β = 90.00°, γ = 90.00°
Positions (direct):
1 Tl 0.000 0.000 0.000
2 Al 0.500 0.500 0.500
3 In 0.000 0.500 0.000
4 In 0.000 0.000 0.500
5 In 0.500 0.000 0.000

energy of formation from the pure elements = 0.697 eV/atom
density = 5.12 g/cm3
total energy = -2.17 eV/atom
relative energy among the computed polymorphs = 425.3 meV/atom

---

[13]
The following is a PBE-GGA calculation of a relaxed structure of AlTl2In, from Alexandria via LeMat-Bulk.

a = 11.071 Å, b = 11.071 Å, c = 11.071 Å
α = 17.42°, β = 17.42°, γ = 17.42°
Positions (direct):
1 Tl 0.994 0.994 0.994
2 Tl 0.506 0.506 0.506
3 Al 0.250 0.250 0.250
4 In 0.750 0.750 0.750

energy of formation from the pure elements = 0.157 eV/atom
density = 8.61 g/cm3
total energy = -2.65 eV/atom
relative energy among the computed polymorphs = 42.9 meV/atom

---

[14]
The following is a PBE-GGA calculation of a relaxed structure of Al2Tl2In, from Alexandria via LeMat-Bulk.

a = 8.774 Å, b = 8.774 Å, c = 3.318 Å
α = 90.00°, β = 90.00°, γ = 90.00°
Positions (direct):
1 Tl 0.321 0.821 0.000
2 Tl 0.821 0.679 0.000
3 Tl 0.679 0.179 0.000
4 Tl 0.179 0.321 0.000
5 Al 0.116 0.616 0.500
6 Al 0.616 0.884 0.500
7 Al 0.884 0.384 0.500
8 Al 0.384 0.116 0.500
9 In 0.000 0.000 0.000
10 In 0.500 0.500 0.000

energy of formation from the pure elements = 0.290 eV/atom
density = 7.51 g/cm3
total energy = -2.70 eV/atom
relative energy among the computed polymorphs = 103.0 meV/atom

---

[15]
The following is a PBE-GGA calculation of a relaxed structure of AlTl2In, from Alexandria via LeMat-Bulk.

a = 6.368 Å, b = 6.368 Å, c = 6.368 Å
α = 147.15°, β = 129.15°, γ = 61.87°
Positions (direct):
1 Tl 0.979 0.979 0.000
2 Tl 0.521 0.521 0.000
3 Al 0.750 0.250 0.500
4 In 0.250 0.750 0.500

energy of formation from the pure elements = 0.177 eV/atom
density = 8.50 g/cm3
total energy = -2.63 eV/atom
relative energy among the computed polymorphs = 62.7 meV/atom

---

[16]
The following is a PBE-GGA calculation of a relaxed structure of Al2TlIn, from Alexandria via LeMat-Bulk.

a = 5.093 Å, b = 5.093 Å, c = 5.093 Å
α = 60.00°, β = 60.00°, γ = 60.00°
Positions (direct):
1 Tl 0.500 0.500 0.500
2 Al 0.250 0.250 0.250
3 Al 0.750 0.750 0.750
4 In 0.000 0.000 0.000

energy of formation from the pure elements = 0.287 eV/atom
density = 6.63 g/cm3
total energy = -2.86 eV/atom
relative energy among the computed polymorphs = 130.5 meV/atom

---

[17]
The following is a PBE-GGA calculation of a relaxed structure of Al2TlIn, from Alexandria via LeMat-Bulk.

a = 3.998 Å, b = 3.049 Å, c = 8.101 Å
α = 77.93°, β = 90.00°, γ = 90.00°
Positions (direct):
1 Tl 0.500 0.541 0.789
2 Al 0.000 0.916 0.053
3 Al 0.500 0.332 0.210
4 In 0.000 0.710 0.447

energy of formation from the pure elements = 0.156 eV/atom
density = 6.42 g/cm3
total energy = -2.99 eV/atom
relative energy among the computed polymorphs = 0.0 meV/atom

---

[18]
The following is a PBE-GGA calculation of a relaxed structure of Al2TlIn, from Alexandria via LeMat-Bulk.

a = 5.329 Å, b = 5.329 Å, c = 3.284 Å
α = 90.00°, β = 90.00°, γ = 90.00°
Positions (direct):
1 Tl 0.000 0.500 0.500
2 Al 0.000 0.000 0.000
3 Al 0.500 0.500 0.000
4 In 0.500 0.000 0.500

energy of formation from the pure elements = 0.276 eV/atom
density = 6.65 g/cm3
total energy = -2.87 eV/atom
relative energy among the computed polymorphs = 119.5 meV/atom

---

[19]
The following is a PBE-GGA calculation of a relaxed structure of AlTlV2In, from Alexandria via LeMat-Bulk.

a = 5.226 Å, b = 4.952 Å, c = 5.226 Å
α = 90.00°, β = 90.00°, γ = 90.00°
Last column: magnetic moment on the atom in μB.
Positions (direct):
1 Tl 0.500 0.500 0.500  0.02
2 V 0.000 0.000 0.500  2.76
3 V 0.500 0.000 0.000  2.64
4 Al 0.000 0.500 0.000  -0.05
5 In 0.000 0.000 0.000  0.01

energy of formation from the pure elements = 1.264 eV/atom
density = 5.50 g/cm3
total energy = -4.15 eV/atom

---

[20]
The following is a PBE-GGA calculation of a relaxed structure of AlTl2VIn, from Alexandria via LeMat-Bulk.

a = 5.315 Å, b = 5.217 Å, c = 5.315 Å
α = 90.00°, β = 90.00°, γ = 90.00°
Positions (direct):
1 Tl 0.000 0.000 0.500
2 Tl 0.500 0.000 0.000
3 V 0.500 0.500 0.500
4 Al 0.000 0.000 0.000
5 In 0.000 0.500 0.000

energy of formation from the pure elements = 1.133 eV/atom
density = 6.78 g/cm3
total energy = -2.93 eV/atom